First-principles (PBE) data for a relaxed structure of NaYGe4, as listed in Alexandria via LeMat-Bulk.

Results
Density in kg/m³: 5324
ΔH_f (0 K) in eV/atom: -0.2621

a b c (Å): 7.948 7.948 7.948
angles (deg): 90.00 90.00 90.00
Space group F-43m (No. 216)
Inequivalent atoms, fractional coordinates:
Na 0.000 0.000 0.000 [4 per cell]
Y 0.250 0.250 0.250 [4 per cell]
Ge 0.125 0.125 0.625 [16 per cell]